(w)
5
Lattice="5.300 0.000 0.000 0.000 5.300 0.000 2.650 2.650 5.968" Properties=species:S:1:pos:R:3 comment="PBE BaLa2Au2, optimized geometry" volume_a3_per_cell=168 magnetic_moment_mub_per_atom=0.00 spacegroup="No. 139" pbc="T T T"
Au 2.650 2.650 1.400
Au 5.300 5.300 4.568
Ba 0.000 0.000 0.000
La 5.300 2.650 2.984
La 2.650 5.300 2.984

---

(x)
10
Lattice="8.801 0.000 0.000 0.000 8.801 0.000 0.000 0.000 4.051" Properties=species:S:1:pos:R:3 comment="PBE BaLa2Au2, optimized geometry" volume_a3_per_cell=314 magnetic_moment_mub_per_atom=0.00 spacegroup="No. 127" pbc="T T T"
Au 3.290 7.691 0.000
Au 7.691 5.511 0.000
Au 5.511 1.110 0.000
Au 1.110 3.290 0.000
Ba 0.000 0.000 0.000
Ba 4.401 4.401 0.000
La 1.381 5.782 2.026
La 5.782 7.420 2.026
La 7.420 3.019 2.026
La 3.019 1.381 2.026

---

(y)
5
Lattice="5.592 0.000 0.000 0.000 5.592 0.000 2.796 2.796 5.667" Properties=species:S:1:pos:R:3 comment="PBE BaLa2Au2, optimized geometry" volume_a3_per_cell=177 magnetic_moment_mub_per_atom=0.00 spacegroup="No. 139" pbc="T T T"
Au 5.592 2.796 2.833
Au 2.796 5.592 2.833
Ba 0.000 0.000 0.000
La 2.796 2.796 1.702
La 5.592 5.592 3.964

---

The structure with the greatest stability is (x).

---

(w)
6
Lattice="0.000 4.184 4.184 4.184 0.000 4.184 4.184 4.184 0.000" Properties=species:S:1:pos:R:3 comment="PBE BaLaAu4, optimized geometry" volume_a3_per_cell=147 magnetic_moment_mub_per_atom=0.00 spacegroup="No. 216" pbc="T T T"
Ba 6.276 6.276 6.276
La 0.000 0.000 0.000
Au 3.136 5.233 5.233
Au 5.233 5.233 3.136
Au 5.233 3.136 5.233
Au 3.136 3.136 3.136

---

(x)
6
Lattice="4.104 0.000 -1.267 -0.391 4.086 -1.267 0.669 0.736 9.447" Properties=species:S:1:pos:R:3 comment="PBE BaLaAu4, optimized geometry" volume_a3_per_cell=166 magnetic_moment_mub_per_atom=0.00 spacegroup="No. 119" pbc="T T T"
Ba 1.067 3.432 3.456
La 0.000 0.000 0.000
Au 2.917 0.952 2.168
Au 2.239 2.464 -0.028
Au 3.713 1.827 4.744
Au 2.143 2.358 6.940

---

The structure with the greatest stability is (x).

---

(w)
5
Lattice="5.860 0.000 0.000 0.000 5.860 0.000 0.000 0.000 5.860" Properties=species:S:1:pos:R:3 comment="PBE BaLa3Au, optimized geometry" volume_a3_per_cell=201 magnetic_moment_mub_per_atom=0.00 spacegroup="No. 221" pbc="T T T"
Au 2.930 2.930 2.930
Ba 0.000 0.000 0.000
La 0.000 2.930 0.000
La 0.000 0.000 2.930
La 2.930 0.000 0.000

---

(x)
5
Lattice="-4.598 3.250 -2.062 -3.815 -4.276 1.766 -0.513 2.666 5.346" Properties=species:S:1:pos:R:3 comment="PBE BaLa3Au, optimized geometry" volume_a3_per_cell=216 magnetic_moment_mub_per_atom=0.00 spacegroup="No. 221" pbc="T T T"
Au 0.000 0.000 0.000
Ba -4.463 0.820 2.525
La -1.907 -2.138 0.883
La -0.257 1.333 2.673
La -2.299 1.625 -1.031

---

The structure with the greatest stability is (x).

---

(w)
5
Lattice="6.255 0.000 0.000 0.000 6.018 0.000 0.000 0.000 6.255" Properties=species:S:1:pos:R:3 comment="PBE Ba2SrLaAu, optimized geometry" volume_a3_per_cell=235 magnetic_moment_mub_per_atom=0.14 spacegroup="No. 123" pbc="T T T"
Sr 0.000 3.009 0.000
Au 0.000 0.000 0.000
Ba 0.000 0.000 3.127
Ba 3.127 0.000 0.000
La 3.127 3.009 3.127

---

(x)
5
Lattice="-0.697 6.288 1.731 -4.721 -1.687 4.229 4.044 -0.716 4.229" Properties=species:S:1:pos:R:3 comment="PBE Ba2SrLaAu, optimized geometry" volume_a3_per_cell=254 magnetic_moment_mub_per_atom=0.00 spacegroup="No. 123" pbc="T T T"
Sr -0.687 1.942 5.094
Au 0.000 0.000 0.000
Ba -2.361 -0.844 2.114
Ba -0.348 3.144 0.866
La 2.022 -0.358 2.115

---

The structure with the greatest stability is (x).

---

(w)
4
Lattice="3.814 0.000 0.000 0.000 3.814 0.000 0.000 0.000 7.440" Properties=species:S:1:pos:R:3 comment="PBE BaLi2Au, optimized geometry" volume_a3_per_cell=108 magnetic_moment_mub_per_atom=0.00 spacegroup="No. 99" pbc="T T T"
Au 0.000 0.000 3.222
Ba 1.907 1.907 5.275
Li 0.000 0.000 0.636
Li 1.907 1.907 2.029

---

(x)
4
Lattice="4.938 -0.015 0.003 3.150 3.803 0.003 1.337 0.626 5.654" Properties=species:S:1:pos:R:3 comment="PBE BaLi2Au, optimized geometry" volume_a3_per_cell=106 magnetic_moment_mub_per_atom=0.00 spacegroup="No. 12" pbc="T T T"
Au 2.356 1.104 1.415
Ba 7.069 3.311 4.245
Li 7.871 3.687 0.915
Li 4.930 2.309 1.921

---

The structure with the greatest stability is (x).

---

(w)
10
Lattice="-0.396 -2.558 -5.348 -1.038 -6.099 2.994 -5.351 4.032 -1.532" Properties=species:S:1:pos:R:3 comment="PBE BaLiAu3, optimized geometry" volume_a3_per_cell=243 magnetic_moment_mub_per_atom=0.00 spacegroup="No. 194" pbc="T T T"
Ba -2.773 -4.641 -2.525
Ba -4.012 0.015 -1.361
Li 0.000 0.000 0.000
Li -0.198 -1.279 -2.674
Au -5.277 -2.436 -3.395
Au -4.260 -3.079 0.138
Au -1.509 -2.189 -0.491
Au -2.525 -1.546 -4.024
Au -1.955 -4.816 0.798
Au -4.830 0.190 -4.684

---

(x)
5
Lattice="6.180 0.000 0.000 0.000 6.180 0.000 0.000 0.000 6.180" Properties=species:S:1:pos:R:3 comment="PBE BaLiAu3, optimized geometry" volume_a3_per_cell=236 magnetic_moment_mub_per_atom=0.00 spacegroup="No. 221" pbc="T T T"
Au 0.000 3.090 0.000
Au 0.000 0.000 3.090
Au 3.090 0.000 0.000
Ba 0.000 0.000 0.000
Li 3.090 3.090 3.090

---

The structure with the greatest stability is (w).

---

(w)
3
Lattice="5.386 0.000 0.000 2.693 4.665 0.000 2.693 1.555 4.398" Properties=species:S:1:pos:R:3 comment="PBE BaLiAu, optimized geometry" volume_a3_per_cell=110 magnetic_moment_mub_per_atom=0.00 spacegroup="No. 216" pbc="T T T"
Au 5.386 3.110 2.199
Ba 8.079 4.665 3.298
Li 0.000 0.000 0.000

---

(x)
3
Lattice="4.713 0.000 0.000 -2.357 4.082 0.000 0.000 0.000 4.606" Properties=species:S:1:pos:R:3 comment="PBE BaLiAu, optimized geometry" volume_a3_per_cell=89 magnetic_moment_mub_per_atom=0.00 spacegroup="No. 187" pbc="T T T"
Au 0.000 0.000 3.838
Ba 2.357 1.361 1.535
Li 0.000 2.721 3.839

---

(y)
6
Lattice="-4.312 -0.050 -0.234 -0.234 -0.291 4.372 2.001 10.194 0.785" Properties=species:S:1:pos:R:3 comment="PBE BaLiAu, optimized geometry" volume_a3_per_cell=193 magnetic_moment_mub_per_atom=0.00 spacegroup="No. 63" pbc="T T T"
Ba -2.339 8.026 1.509
Ba -0.207 1.826 3.413
Li -0.136 5.011 1.427
Li -2.409 4.842 3.496
Au -2.267 3.339 1.202
Au -0.278 6.513 3.721

---

(z)
3
Lattice="6.259 -0.008 -0.009 3.882 4.910 0.009 -5.067 -2.459 2.731" Properties=species:S:1:pos:R:3 comment="PBE BaLiAu, optimized geometry" volume_a3_per_cell=84 magnetic_moment_mub_per_atom=0.00 spacegroup="No. 107" pbc="T T T"
Au -4.704 -2.282 2.731
Ba 3.498 1.690 0.000
Li 6.280 3.035 0.000

---

The structure with the greatest stability is (x).

---

(w)
14
Lattice="-2.290 -5.035 -4.290 -1.102 -6.460 2.460 -8.381 -1.958 1.061" Properties=species:S:1:pos:R:3 comment="PBE BaLi3Au3, optimized geometry" volume_a3_per_cell=326 magnetic_moment_mub_per_atom=0.00 spacegroup="No. 148" pbc="T T T"
Ba -9.450 -5.806 0.437
Ba -2.324 -7.647 -1.206
Li -7.149 -8.781 0.026
Li -6.837 -5.512 -2.283
Li -5.888 -5.316 1.614
Li -5.886 -8.138 -2.382
Li -4.937 -7.942 1.514
Li -4.625 -4.672 -0.795
Au -3.245 -5.679 1.291
Au -4.393 -6.068 -3.251
Au -4.706 -9.807 -0.418
Au -7.068 -3.646 -0.350
Au -7.381 -7.385 2.483
Au -8.529 -7.775 -2.060

---

(x)
14
Lattice="7.019 0.000 0.000 0.000 7.019 0.000 0.000 0.000 7.019" Properties=species:S:1:pos:R:3 comment="PBE BaLi3Au3, optimized geometry" volume_a3_per_cell=346 magnetic_moment_mub_per_atom=0.00 spacegroup="No. 223" pbc="T T T"
Au 1.755 0.000 3.510
Au 0.000 3.510 1.755
Au 3.510 5.265 0.000
Au 5.265 0.000 3.510
Au 0.000 3.510 5.265
Au 3.510 1.755 0.000
Ba 3.510 3.510 3.510
Ba 0.000 0.000 0.000
Li 0.000 1.755 3.510
Li 0.000 5.265 3.510
Li 3.510 0.000 5.265
Li 5.265 3.510 0.000
Li 3.510 0.000 1.755
Li 1.755 3.510 0.000

---

The structure with the greatest stability is (w).

---

(w)
5
Lattice="0.478 -1.318 5.226 2.737 -4.339 -1.344 6.399 0.101 2.241" Properties=species:S:1:pos:R:3 comment="PBE Ba2Li2Au, optimized geometry" volume_a3_per_cell=161 magnetic_moment_mub_per_atom=0.00 spacegroup="No. 71" pbc="T T T"
Ba 4.894 -1.624 4.745
Ba 4.719 -3.932 1.378
Li 1.480 -2.476 0.546
Li 1.735 -3.180 3.336
Au 0.000 0.000 0.000

---

(x)
5
Lattice="-0.698 -3.898 -0.999 -0.902 -0.836 3.894 -10.684 -0.133 -0.362" Properties=species:S:1:pos:R:3 comment="PBE Ba2Li2Au, optimized geometry" volume_a3_per_cell=172 magnetic_moment_mub_per_atom=0.00 spacegroup="No. 139" pbc="T T T"
Au 0.000 0.000 0.000
Ba -2.634 -1.952 1.112
Ba -9.650 -2.914 1.421
Li -6.091 -3.199 0.043
Li -6.193 -1.668 2.490

---

The structure with the greatest stability is (w).

---

(w)
9
Lattice="4.895 0.000 1.379 2.048 5.875 2.106 0.020 -0.281 9.306" Properties=species:S:1:pos:R:3 comment="PBE Ba3Li4Au2, optimized geometry" volume_a3_per_cell=270 magnetic_moment_mub_per_atom=0.00 spacegroup="No. 12" pbc="T T T"
Ba 3.292 0.747 7.068
Ba 0.000 0.000 0.000
Ba 3.671 4.848 5.723
Li 2.200 2.289 1.568
Li 5.497 3.140 8.621
Li 1.467 2.455 4.171
Li 4.763 3.306 11.224
Au 4.165 1.905 3.971
Au 2.798 3.690 8.821

---

(x)
9
Lattice="4.647 0.000 0.000 -2.324 6.099 -0.472 0.000 -3.193 10.084" Properties=species:S:1:pos:R:3 comment="PBE Ba3Li4Au2, optimized geometry" volume_a3_per_cell=279 magnetic_moment_mub_per_atom=0.00 spacegroup="No. 12" pbc="T T T"
Ba 2.324 -0.852 6.867
Ba 0.000 0.000 0.000
Ba 0.000 3.759 2.745
Li 2.324 2.517 0.504
Li 0.000 0.390 9.108
Li 2.324 2.280 5.393
Li 0.000 0.627 4.219
Au 2.324 1.134 2.771
Au 0.000 1.772 6.841

---

The structure with the greatest stability is (w).

---

(w)
5
Lattice="-0.255 -3.934 -5.188 1.832 -5.025 3.721 -5.416 -1.138 1.130" Properties=species:S:1:pos:R:3 comment="PBE RbBa2LiAu, optimized geometry" volume_a3_per_cell=240 magnetic_moment_mub_per_atom=0.00 spacegroup="No. 123" pbc="T T T"
Au 0.000 0.000 0.000
Ba 0.916 -2.513 1.860
Ba -0.128 -1.967 -2.594
Rb -1.920 -5.049 -0.168
Li -2.708 -0.569 0.565

---

(x)
5
Lattice="6.427 0.000 0.000 0.000 6.427 0.000 0.000 0.000 6.655" Properties=species:S:1:pos:R:3 comment="PBE RbBa2LiAu, optimized geometry" volume_a3_per_cell=275 magnetic_moment_mub_per_atom=0.00 spacegroup="No. 123" pbc="T T T"
Au 0.000 0.000 0.000
Ba 0.000 3.214 0.000
Ba 3.214 0.000 0.000
Rb 0.000 0.000 3.328
Li 3.214 3.214 3.328

---

The structure with the greatest stability is (w).

---

(w)
5
Lattice="-2.937 3.184 -3.310 3.242 -1.345 -4.171 -3.502 -4.540 -1.259" Properties=species:S:1:pos:R:3 comment="PBE BaSrLi2Au, optimized geometry" volume_a3_per_cell=174 magnetic_moment_mub_per_atom=0.00 spacegroup="No. 123" pbc="T T T"
Sr -1.751 -2.270 -0.629
Au 0.000 0.000 0.000
Ba -1.599 -1.350 -4.370
Li 1.621 -0.672 -2.086
Li -1.469 1.592 -1.655

---

(x)
5
Lattice="-4.749 1.134 2.476 2.110 -1.614 4.787 1.913 5.674 1.070" Properties=species:S:1:pos:R:3 comment="PBE BaSrLi2Au, optimized geometry" volume_a3_per_cell=182 magnetic_moment_mub_per_atom=0.00 spacegroup="No. 123" pbc="T T T"
Sr -0.363 2.597 4.167
Au 0.000 0.000 0.000
Ba 0.957 2.837 0.535
Li 1.055 -0.807 2.393
Li -2.375 0.567 1.238

---

The structure with the greatest stability is (w).